[1]
# Ti2Tc2Au | Alexandria via LeMat-Bulk | PBE | optimized geometry
data_Ti2Tc2Au
_chemical_formula_sum 'Ti4 Tc4 Au2'
_cell_length_a 7.223
_cell_length_b 7.223
_cell_length_c 3.081
_cell_angle_alpha 90.00
_cell_angle_beta 90.00
_cell_angle_gamma 90.00
_space_group_name_H-M_alt 'P 4/m b m'
_space_group_IT_number 127
_space_group_name_Hall '-P 4 2ab'
loop_
_atom_site_label
_atom_site_type_symbol
_atom_site_fract_x
_atom_site_fract_y
_atom_site_fract_z
_atom_site_occupancy
Ti1 Ti 0.142 0.358 0.000 1
Tc1 Tc 0.160 0.660 0.500 1
Au1 Au 0.000 0.000 0.000 1
# energy of formation from the pure elements = -4 meV/atom
# M_tot = 0.000 μB per formula unit

***

[2]
# TiTcAu | Alexandria via LeMat-Bulk | PBE | optimized geometry
data_TiTcAu
_chemical_formula_sum 'Ti4 Tc4 Au4'
_cell_length_a 13.350
_cell_length_b 3.183
_cell_length_c 4.725
_cell_angle_alpha 90.00
_cell_angle_beta 100.82
_cell_angle_gamma 90.00
_space_group_name_H-M_alt 'C 1 2/m 1'
_space_group_IT_number 12
loop_
_space_group_symop_operation_xyz
'x,y,z'
'-x,-y,-z'
'-x,y,-z'
'x,-y,z'
'x+1/2,y+1/2,z'
'-x+1/2,-y+1/2,-z'
'-x+1/2,y+1/2,-z'
'x+1/2,-y+1/2,z'
loop_
_atom_site_label
_atom_site_type_symbol
_atom_site_fract_x
_atom_site_fract_y
_atom_site_fract_z
_atom_site_occupancy
Ti1 Ti 0.242 0.000 0.241 1
Tc1 Tc 0.113 0.000 0.768 1
Au1 Au 0.074 0.500 0.263 1
# energy of formation from the pure elements = -83 meV/atom
# M_tot = 0.000 μB per formula unit

***

[3]
# Ti3TcAu | Alexandria via LeMat-Bulk | PBE | optimized geometry
data_Ti3TcAu
_chemical_formula_sum 'Ti3 Tc1 Au1'
_cell_length_a 4.774
_cell_length_b 4.774
_cell_length_c 4.774
_cell_angle_alpha 90.00
_cell_angle_beta 90.00
_cell_angle_gamma 90.00
_space_group_name_H-M_alt 'P m -3 m'
_space_group_IT_number 221
_space_group_name_Hall '-P 4 2 3'
loop_
_atom_site_label
_atom_site_type_symbol
_atom_site_fract_x
_atom_site_fract_y
_atom_site_fract_z
_atom_site_occupancy
Ti1 Ti 0.000 0.000 0.500 1
Tc1 Tc 0.500 0.500 0.500 1
Au1 Au 0.000 0.000 0.000 1
# energy of formation from the pure elements = 1215 meV/atom
# M_tot = 0.003 μB per formula unit

***

[4]
# TiTc3Au | Alexandria via LeMat-Bulk | PBE | optimized geometry
data_TiTc3Au
_chemical_formula_sum 'Ti1 Tc3 Au1'
_cell_length_a 4.774
_cell_length_b 4.774
_cell_length_c 4.774
_cell_angle_alpha 90.00
_cell_angle_beta 90.00
_cell_angle_gamma 90.00
_space_group_name_H-M_alt 'P m -3 m'
_space_group_IT_number 221
_space_group_name_Hall '-P 4 2 3'
loop_
_atom_site_label
_atom_site_type_symbol
_atom_site_fract_x
_atom_site_fract_y
_atom_site_fract_z
_atom_site_occupancy
Ti1 Ti 0.000 0.000 0.000 1
Tc1 Tc 0.000 0.500 0.500 1
Au1 Au 0.500 0.500 0.500 1
# energy of formation from the pure elements = 2249 meV/atom
# M_tot = 0.858 μB per formula unit

***

[5]
# Ti2Tc2Au | Alexandria via LeMat-Bulk | PBE | optimized geometry
data_Ti2Tc2Au
_chemical_formula_sum 'Ti4 Tc4 Au2'
_cell_length_a 7.196
_cell_length_b 7.196
_cell_length_c 3.165
_cell_angle_alpha 90.00
_cell_angle_beta 90.00
_cell_angle_gamma 90.00
_space_group_name_H-M_alt 'P 4/m b m'
_space_group_IT_number 127
_space_group_name_Hall '-P 4 2ab'
loop_
_atom_site_label
_atom_site_type_symbol
_atom_site_fract_x
_atom_site_fract_y
_atom_site_fract_z
_atom_site_occupancy
Ti1 Ti 0.190 0.310 0.000 1
Tc1 Tc 0.118 0.618 0.500 1
Au1 Au 0.000 0.000 0.500 1
# energy of formation from the pure elements = -103 meV/atom
# M_tot = 0.000 μB per formula unit

***

[6]
# Ti3TcAu | Alexandria via LeMat-Bulk | PBE | optimized geometry
data_Ti3TcAu
_chemical_formula_sum 'Ti3 Tc1 Au1'
_cell_length_a 4.679
_cell_length_b 4.679
_cell_length_c 4.679
_cell_angle_alpha 90.00
_cell_angle_beta 90.00
_cell_angle_gamma 90.00
_space_group_name_H-M_alt 'P m -3 m'
_space_group_IT_number 221
_space_group_name_Hall '-P 4 2 3'
loop_
_atom_site_label
_atom_site_type_symbol
_atom_site_fract_x
_atom_site_fract_y
_atom_site_fract_z
_atom_site_occupancy
Ti1 Ti 0.000 0.000 0.500 1
Tc1 Tc 0.000 0.000 0.000 1
Au1 Au 0.500 0.500 0.500 1
# energy of formation from the pure elements = 456 meV/atom
# M_tot = 1.349 μB per formula unit